Compound: MgGa2TeO8
Source: Alexandria via LeMat-Bulk
Functional: PBE
Structure: optimized geometry

a b c (Å): 6.5167 6.5167 6.6095
angles (deg): 90.00 90.00 90.00
Last column: nearest neighbours and their distance in Å.
Space group I-4m2 (No. 119)
Symmetry-distinct sites (fractional):
Mg1 0.0000 0.0000 0.0000 x2  4 O 2.04
Ga1 0.0000 0.0000 0.5000 x2  4 O 1.84
Ga2 0.0000 0.5000 0.2500 x2  4 O 1.86
Te1 0.0000 0.5000 0.7500 x2  4 O 1.96
O1 0.0000 0.2047 0.6906 x8  1 Ga 1.84, 1 Te 1.96
O2 0.0000 0.3109 0.0396 x8  1 Ga 1.86, 1 Mg 2.04

Computed properties:
Formation energy from raw total energies in eV/atom: -1.128
Total moment in μB per formula unit: 2.02
Calculated total energy in eV/atom: -5.332
Theoretical density in kg/m³: 4962
Crystal system: tetragonal

Compound: MgGa2TeO6
Source: Alexandria via LeMat-Bulk
Functional: PBE
Structure: optimized geometry

a b c (Å): 10.3922 8.8096 5.5562
angles (deg): 90.00 102.80 90.00
Last column: nearest neighbours and their distance in Å.
Space group C2/c (No. 15)
Symmetry-distinct sites (fractional):
Mg1 0.0000 0.0920 0.2500 x4  6 O 2.05-2.19
Ga1 0.2097 0.4016 0.2642 x8  4 O 1.85-1.93
Te1 0.0000 0.2810 0.7500 x4  4 O 2.03-2.11
O1 0.1004 0.1058 0.6401 x8  1 Ga 1.93, 1 Te 2.03
O2 0.1173 0.2363 0.1046 x8  1 Ga 1.86, 1 Mg 2.05
O3 0.1607 0.4314 0.5605 x8  2 Ga 1.85-1.86

Computed properties:
Formation energy from raw total energies in eV/atom: -1.787
Total moment in μB per formula unit: 0.00
Calculated total energy in eV/atom: -5.841
Theoretical density in kg/m³: 5187
Crystal system: monoclinic

Compound: MgGaTe2O8
Source: Alexandria via LeMat-Bulk
Functional: PBE
Structure: optimized geometry

a b c (Å): 6.7123 6.7123 6.9189
angles (deg): 90.00 90.00 90.00
Last column: nearest neighbours and their distance in Å.
Space group I-4m2 (No. 119)
Symmetry-distinct sites (fractional):
Mg1 0.0000 0.0000 0.0000 x2  4 O 2.06
Ga1 0.0000 0.5000 0.7500 x2  4 O 1.98
Te1 0.0000 0.0000 0.5000 x2  4 O 1.94
Te2 0.0000 0.5000 0.2500 x2  4 O 1.84
O1 0.0000 0.2106 0.6915 x8  1 Te 1.94, 1 Ga 1.98
O2 0.0000 0.2989 0.0693 x8  1 Te 1.84

Computed properties:
Formation energy from raw total energies in eV/atom: -1.111
Total moment in μB per formula unit: 0.23
Calculated total energy in eV/atom: -5.326
Theoretical density in kg/m³: 5084
Crystal system: tetragonal

Compound: MgTlGaO4
Source: Alexandria via LeMat-Bulk
Functional: PBE
Structure: optimized geometry

a b c (Å): 6.2549 6.3046 8.7853
angles (deg): 90.00 90.00 90.00
Last column: nearest neighbours and their distance in Å.
Space group Imma (No. 74)
Symmetry-distinct sites (fractional):
Mg1 0.2500 0.2500 0.2500 x4  6 O 2.11-2.18
Tl1 0.0000 0.0000 0.0000 x4  6 O 2.26-2.28
Ga1 0.0000 0.2500 0.6281 x4  4 O 1.91-1.92
O1 0.0000 0.0090 0.2568 x8  1 Ga 1.92
O2 0.2371 0.2500 0.4904 x8  1 Ga 1.91, 1 Mg 2.11

Computed properties:
Formation energy from raw total energies in eV/atom: -1.614
Total moment in μB per formula unit: 0.00
Calculated total energy in eV/atom: -5.446
Theoretical density in kg/m³: 6948
Crystal system: orthorhombic

Compound: Mg2UGaO6
Source: Alexandria via LeMat-Bulk
Functional: PBE
Structure: optimized geometry

a b c (Å): 5.4937 5.4937 4.6204
angles (deg): 90.00 90.00 90.00
Last column: nearest neighbours and their distance in Å.
Space group P4mm (No. 99)
Symmetry-distinct sites (fractional):
Mg1 0.0000 0.5000 0.0000 x2  4 O 2.16
U1 0.0000 0.0000 0.6667 x1  5 O 2.09-2.10
Ga1 0.5000 0.5000 0.6518 x1  5 O 1.80-1.98
O1 0.0000 0.0000 0.2151 x1  1 U 2.09
O2 0.2596 0.2596 0.7952 x4  1 Ga 1.98, 1 U 2.10, 2 Mg 2.16
O3 0.5000 0.5000 0.2628 x1  1 Ga 1.80

Computed properties:
Formation energy from raw total energies in eV/atom: -2.257
Total moment in μB per formula unit: 1.00
Calculated total energy in eV/atom: -6.982
Theoretical density in kg/m³: 5387
Crystal system: tetragonal

Compound: MgUGa2O8
Source: Alexandria via LeMat-Bulk
Functional: PBE
Structure: optimized geometry

a b c (Å): 6.7757 6.7757 6.7269
angles (deg): 90.00 90.00 90.00
Last column: nearest neighbours and their distance in Å.
Space group I-4m2 (No. 119)
Symmetry-distinct sites (fractional):
Mg1 0.0000 0.0000 0.0000 x2  4 O 2.08
U1 0.0000 0.5000 0.2500 x2  4 O 2.05
Ga1 0.0000 0.0000 0.5000 x2  4 O 1.83
Ga2 0.0000 0.5000 0.7500 x2  4 O 1.87
O1 0.0000 0.2066 0.3242 x8  1 Ga 1.83, 1 U 2.05
O2 0.0000 0.3012 0.9430 x8  1 Ga 1.87, 1 Mg 2.08

Computed properties:
Formation energy from raw total energies in eV/atom: -1.938
Total moment in μB per formula unit: 2.02
Calculated total energy in eV/atom: -6.822
Theoretical density in kg/m³: 5697
Crystal system: tetragonal